# ZrFe2Pb, relaxed, DFT GGA-PBEsol
# **VASP energy**: -7.591 eV/atom
# **M_tot**: 7.6 Bohr magnetons per cell
# **Formation energy**: 0.1630 eV per atom
data_ZrFe2Pb
_symmetry_space_group_name_H-M 'I m m 2'
_symmetry_Int_Tables_number 44
_cell_length_a 3.308
_cell_length_b 4.397
_cell_length_c 9.100
_cell_angle_alpha 90.00
_cell_angle_beta 90.00
_cell_angle_gamma 90.00
loop_
_symmetry_equiv_pos_as_xyz
'x,y,z'
'-x,-y,z'
'-x,y,z'
'x,-y,z'
'x+1/2,y+1/2,z+1/2'
'-x+1/2,-y+1/2,z+1/2'
'-x+1/2,y+1/2,z+1/2'
'x+1/2,-y+1/2,z+1/2'
loop_
_atom_site_label
_atom_site_type_symbol
_atom_site_fract_x
_atom_site_fract_y
_atom_site_fract_z
Zr1 Zr 0.000 0.000 0.000
Fe1 Fe 0.000 0.000 0.471
Fe2 Fe 0.000 0.500 0.778
Pb1 Pb 0.000 0.500 0.224


# Zr2FePb, relaxed, DFT GGA-PBEsol
# **VASP energy**: -7.515 eV/atom
# **M_tot**: 7.5 Bohr magnetons per cell
# **Formation energy**: 0.2704 eV per atom
data_Zr2FePb
_symmetry_space_group_name_H-M 'F -4 3 m'
_symmetry_Int_Tables_number 216
_symmetry_space_group_name_Hall 'F -4 2 3'
_cell_length_a 6.688
_cell_length_b 6.688
_cell_length_c 6.688
_cell_angle_alpha 90.00
_cell_angle_beta 90.00
_cell_angle_gamma 90.00
loop_
_atom_site_label
_atom_site_type_symbol
_atom_site_fract_x
_atom_site_fract_y
_atom_site_fract_z
Zr1 Zr 0.000 0.000 0.000
Zr2 Zr 0.250 0.250 0.250
Fe1 Fe 0.250 0.250 0.750
Pb1 Pb 0.000 0.000 0.500


# FeRePd2Pt, relaxed, DFT GGA-PBEsol
# **VASP energy**: -6.226 eV/atom
# **M_tot**: 7.4 Bohr magnetons per cell
# **Formation energy**: 2.0092 eV per atom
data_FeRePd2Pt
_symmetry_space_group_name_H-M 'P 4/m m m'
_symmetry_Int_Tables_number 123
_symmetry_space_group_name_Hall '-P 4 2'
_cell_length_a 4.774
_cell_length_b 4.774
_cell_length_c 4.429
_cell_angle_alpha 90.00
_cell_angle_beta 90.00
_cell_angle_gamma 90.00
loop_
_atom_site_label
_atom_site_type_symbol
_atom_site_fract_x
_atom_site_fract_y
_atom_site_fract_z
Fe1 Fe 0.000 0.000 0.000
Re1 Re 0.500 0.500 0.000
Pd1 Pd 0.000 0.500 0.500
Pt1 Pt 0.000 0.000 0.500


# RbFe3Pd, relaxed, DFT GGA-PBEsol
# **VASP energy**: -5.489 eV/atom
# **M_tot**: 10.1 Bohr magnetons per cell
# **Formation energy**: 1.2864 eV per atom
data_RbFe3Pd
_symmetry_space_group_name_H-M 'P m -3 m'
_symmetry_Int_Tables_number 221
_symmetry_space_group_name_Hall '-P 4 2 3'
_cell_length_a 4.793
_cell_length_b 4.793
_cell_length_c 4.793
_cell_angle_alpha 90.00
_cell_angle_beta 90.00
_cell_angle_gamma 90.00
loop_
_atom_site_label
_atom_site_type_symbol
_atom_site_fract_x
_atom_site_fract_y
_atom_site_fract_z
Rb1 Rb 0.000 0.000 0.000
Fe1 Fe 0.000 0.500 0.500
Pd1 Pd 0.500 0.500 0.500


# FePd3Ru, relaxed, DFT GGA-PBEsol
# **VASP energy**: -6.039 eV/atom
# **M_tot**: 5.9 Bohr magnetons per cell
# **Formation energy**: 1.3635 eV per atom
data_FePd3Ru
_symmetry_space_group_name_H-M 'P m -3 m'
_symmetry_Int_Tables_number 221
_symmetry_space_group_name_Hall '-P 4 2 3'
_cell_length_a 4.426
_cell_length_b 4.426
_cell_length_c 4.426
_cell_angle_alpha 90.00
_cell_angle_beta 90.00
_cell_angle_gamma 90.00
loop_
_atom_site_label
_atom_site_type_symbol
_atom_site_fract_x
_atom_site_fract_y
_atom_site_fract_z
Fe1 Fe 0.000 0.000 0.000
Pd1 Pd 0.000 0.000 0.500
Ru1 Ru 0.500 0.500 0.500


# ScFeSbPd2, relaxed, DFT GGA-PBEsol
# **VASP energy**: -6.229 eV/atom
# **Formation energy from raw total energies**: 0.18 eV/atom
# **M_tot**: 2.9 Bohr magnetons per cell
data_ScFeSbPd2
_symmetry_space_group_name_H-M 'P 4/m m m'
_symmetry_Int_Tables_number 123
_symmetry_space_group_name_Hall '-P 4 2'
_cell_length_a 4.605
_cell_length_b 4.605
_cell_length_c 4.662
_cell_angle_alpha 90.00
_cell_angle_beta 90.00
_cell_angle_gamma 90.00
loop_
_atom_site_label
_atom_site_type_symbol
_atom_site_fract_x
_atom_site_fract_y
_atom_site_fract_z
Sc1 Sc 0.000 0.000 0.000
Fe1 Fe 0.500 0.500 0.500
Sb1 Sb 0.500 0.500 0.000
Pd1 Pd 0.000 0.500 0.500


# Sc3FePd, relaxed, DFT GGA-PBEsol
# **VASP energy**: -6.984 eV/atom
# **M_tot**: 0.0 Bohr magnetons per cell
# **Formation energy**: -0.0361 eV per atom
data_Sc3FePd
_symmetry_space_group_name_H-M 'P m -3 m'
_symmetry_Int_Tables_number 221
_symmetry_space_group_name_Hall '-P 4 2 3'
_cell_length_a 4.646
_cell_length_b 4.646
_cell_length_c 4.646
_cell_angle_alpha 90.00
_cell_angle_beta 90.00
_cell_angle_gamma 90.00
loop_
_atom_site_label
_atom_site_type_symbol
_atom_site_fract_x
_atom_site_fract_y
_atom_site_fract_z
Sc1 Sc 0.000 0.000 0.500
Fe1 Fe 0.000 0.000 0.000
Pd1 Pd 0.500 0.500 0.500


# FePd2Se2, relaxed, DFT GGA-PBEsol
# **VASP energy**: -6.041 eV/atom
# **Formation energy from raw total energies**: -0.33 eV/atom
# **M_tot**: 1.4 Bohr magnetons per cell
data_FePd2Se2
_symmetry_space_group_name_H-M 'I b a m'
_symmetry_Int_Tables_number 72
_symmetry_space_group_name_Hall '-I 2 2c'
_cell_length_a 5.848
_cell_length_b 10.434
_cell_length_c 4.999
_cell_angle_alpha 90.00
_cell_angle_beta 90.00
_cell_angle_gamma 90.00
loop_
_atom_site_label
_atom_site_type_symbol
_atom_site_fract_x
_atom_site_fract_y
_atom_site_fract_z
Fe1 Fe 0.000 0.000 0.250
Pd1 Pd 0.121 0.389 0.000
Se1 Se 0.203 0.145 0.000


# FePdSe2, relaxed, DFT GGA-PBEsol
# **VASP energy**: -5.787 eV/atom
# **Formation energy from raw total energies**: -0.13 eV/atom
# **M_tot**: 4.6 Bohr magnetons per cell
data_FePdSe2
_symmetry_space_group_name_H-M 'R -3 m'
_symmetry_Int_Tables_number 166
_symmetry_space_group_name_Hall '-R 3 2"'
_cell_length_a 3.2282
_cell_length_b 3.2282
_cell_length_c 22.9260
_cell_angle_alpha 90.00
_cell_angle_beta 90.00
_cell_angle_gamma 120.00
loop_
_atom_site_label
_atom_site_type_symbol
_atom_site_fract_x
_atom_site_fract_y
_atom_site_fract_z
Fe1 Fe 0.0000 0.0000 0.0000
Pd1 Pd 0.0000 0.0000 0.5000
Se1 Se 0.0000 0.0000 0.3960


# FeSiPd3, relaxed, DFT GGA-PBEsol
# **VASP energy**: -6.129 eV/atom
# **Formation energy from raw total energies**: 0.39 eV/atom
# **M_tot**: 3.5 Bohr magnetons per cell
data_FeSiPd3
_symmetry_space_group_name_H-M 'P m -3 m'
_symmetry_Int_Tables_number 221
_symmetry_space_group_name_Hall '-P 4 2 3'
_cell_length_a 4.400
_cell_length_b 4.400
_cell_length_c 4.400
_cell_angle_alpha 90.00
_cell_angle_beta 90.00
_cell_angle_gamma 90.00
loop_
_atom_site_label
_atom_site_type_symbol
_atom_site_fract_x
_atom_site_fract_y
_atom_site_fract_z
Fe1 Fe 0.000 0.000 0.000
Si1 Si 0.500 0.500 0.500
Pd1 Pd 0.000 0.500 0.500


# FeSi2Pd, relaxed, DFT GGA-PBEsol
# **VASP energy**: -6.721 eV/atom
# **Formation energy from raw total energies**: -0.12 eV/atom
# **M_tot**: 5.5 Bohr magnetons per cell
data_FeSi2Pd
_symmetry_space_group_name_H-M 'I -4 2 d'
_symmetry_Int_Tables_number 122
_symmetry_space_group_name_Hall 'I -4 2bw'
_cell_length_a 3.766
_cell_length_b 3.766
_cell_length_c 15.677
_cell_angle_alpha 90.00
_cell_angle_beta 90.00
_cell_angle_gamma 90.00
loop_
_atom_site_label
_atom_site_type_symbol
_atom_site_fract_x
_atom_site_fract_y
_atom_site_fract_z
Fe1 Fe 0.000 0.000 0.000
Si1 Si 0.222 0.250 0.125
Pd1 Pd 0.000 0.000 0.500


# FeSn2PdW, relaxed, DFT GGA-PBEsol
# **VASP energy**: -6.210 eV/atom
# **M_tot**: 4.4 Bohr magnetons per cell
# **Formation energy**: 1.2395 eV per atom
data_FeSn2PdW
_symmetry_space_group_name_H-M 'P 4/m m m'
_symmetry_Int_Tables_number 123
_symmetry_space_group_name_Hall '-P 4 2'
_cell_length_a 4.682
_cell_length_b 4.682
_cell_length_c 4.580
_cell_angle_alpha 90.00
_cell_angle_beta 90.00
_cell_angle_gamma 90.00
loop_
_atom_site_label
_atom_site_type_symbol
_atom_site_fract_x
_atom_site_fract_y
_atom_site_fract_z
Fe1 Fe 0.000 0.000 0.000
Sn1 Sn 0.000 0.500 0.000
Pd1 Pd 0.000 0.000 0.500
W1 W 0.500 0.500 0.500


# Sr3FePd, relaxed, DFT GGA-PBEsol
# **VASP energy**: -3.637 eV/atom
# **M_tot**: 3.0 Bohr magnetons per cell
# **Formation energy**: 0.4519 eV per atom
data_Sr3FePd
_symmetry_space_group_name_H-M 'P m -3 m'
_symmetry_Int_Tables_number 221
_symmetry_space_group_name_Hall '-P 4 2 3'
_cell_length_a 5.727
_cell_length_b 5.727
_cell_length_c 5.727
_cell_angle_alpha 90.00
_cell_angle_beta 90.00
_cell_angle_gamma 90.00
loop_
_atom_site_label
_atom_site_type_symbol
_atom_site_fract_x
_atom_site_fract_y
_atom_site_fract_z
Sr1 Sr 0.000 0.000 0.500
Fe1 Fe 0.500 0.500 0.500
Pd1 Pd 0.000 0.000 0.000


# TaFePd3, relaxed, DFT GGA-PBEsol
# **VASP energy**: -6.515 eV/atom
# **M_tot**: 3.1 Bohr magnetons per cell
# **Formation energy**: 1.3628 eV per atom
data_TaFePd3
_symmetry_space_group_name_H-M 'P m -3 m'
_symmetry_Int_Tables_number 221
_symmetry_space_group_name_Hall '-P 4 2 3'
_cell_length_a 4.713
_cell_length_b 4.713
_cell_length_c 4.713
_cell_angle_alpha 90.00
_cell_angle_beta 90.00
_cell_angle_gamma 90.00
loop_
_atom_site_label
_atom_site_type_symbol
_atom_site_fract_x
_atom_site_fract_y
_atom_site_fract_z
Ta1 Ta 0.000 0.000 0.000
Fe1 Fe 0.500 0.500 0.500
Pd1 Pd 0.000 0.000 0.500


# Y2TaFePd, relaxed, DFT GGA-PBEsol
# **VASP energy**: -7.893 eV/atom
# **M_tot**: 0.4 Bohr magnetons per cell
# **Formation energy**: 0.3304 eV per atom
data_Y2TaFePd
_symmetry_space_group_name_H-M 'P 4/m m m'
_symmetry_Int_Tables_number 123
_symmetry_space_group_name_Hall '-P 4 2'
_cell_length_a 5.060
_cell_length_b 5.060
_cell_length_c 4.405
_cell_angle_alpha 90.00
_cell_angle_beta 90.00
_cell_angle_gamma 90.00
loop_
_atom_site_label
_atom_site_type_symbol
_atom_site_fract_x
_atom_site_fract_y
_atom_site_fract_z
Y1 Y 0.000 0.500 0.000
Ta1 Ta 0.000 0.000 0.500
Fe1 Fe 0.000 0.000 0.000
Pd1 Pd 0.500 0.500 0.500


# FeTe3Pd, relaxed, DFT GGA-PBEsol
# **ΔE to the lowest computed polymorph**: 0 meV/atom
# **VASP energy**: -4.477 eV/atom
# **Formation energy from raw total energies**: 0.62 eV/atom
# **M_tot**: 1.6 Bohr magnetons per cell
data_FeTe3Pd
_symmetry_space_group_name_H-M 'P m -3 m'
_symmetry_Int_Tables_number 221
_symmetry_space_group_name_Hall '-P 4 2 3'
_cell_length_a 4.907
_cell_length_b 4.907
_cell_length_c 4.907
_cell_angle_alpha 90.00
_cell_angle_beta 90.00
_cell_angle_gamma 90.00
loop_
_atom_site_label
_atom_site_type_symbol
_atom_site_fract_x
_atom_site_fract_y
_atom_site_fract_z
Fe1 Fe 0.000 0.000 0.000
Te1 Te 0.000 0.000 0.500
Pd1 Pd 0.500 0.500 0.500


# Ti3FePd, relaxed, DFT GGA-PBEsol
# **VASP energy**: -6.973 eV/atom
# **M_tot**: 1.3 Bohr magnetons per cell
# **Formation energy**: 1.0047 eV per atom
data_Ti3FePd
_symmetry_space_group_name_H-M 'P m -3 m'
_symmetry_Int_Tables_number 221
_symmetry_space_group_name_Hall '-P 4 2 3'
_cell_length_a 4.663
_cell_length_b 4.663
_cell_length_c 4.663
_cell_angle_alpha 90.00
_cell_angle_beta 90.00
_cell_angle_gamma 90.00
loop_
_atom_site_label
_atom_site_type_symbol
_atom_site_fract_x
_atom_site_fract_y
_atom_site_fract_z
Ti1 Ti 0.000 0.000 0.500
Fe1 Fe 0.500 0.500 0.500
Pd1 Pd 0.000 0.000 0.000


# Y2TiFePd, relaxed, DFT GGA-PBEsol
# **VASP energy**: -7.289 eV/atom
# **M_tot**: 0.0 Bohr magnetons per cell
# **Formation energy**: 0.0890 eV per atom
data_Y2TiFePd
_symmetry_space_group_name_H-M 'P 4/m m m'
_symmetry_Int_Tables_number 123
_symmetry_space_group_name_Hall '-P 4 2'
_cell_length_a 5.114
_cell_length_b 5.114
_cell_length_c 4.214
_cell_angle_alpha 90.00
_cell_angle_beta 90.00
_cell_angle_gamma 90.00
loop_
_atom_site_label
_atom_site_type_symbol
_atom_site_fract_x
_atom_site_fract_y
_atom_site_fract_z
Y1 Y 0.000 0.500 0.000
Ti1 Ti 0.000 0.000 0.500
Fe1 Fe 0.000 0.000 0.000
Pd1 Pd 0.500 0.500 0.500


# TlFe3Pd, relaxed, DFT GGA-PBEsol
# **VASP energy**: -5.149 eV/atom
# **M_tot**: 8.9 Bohr magnetons per cell
# **Formation energy**: 1.9464 eV per atom
data_TlFe3Pd
_symmetry_space_group_name_H-M 'P m -3 m'
_symmetry_Int_Tables_number 221
_symmetry_space_group_name_Hall '-P 4 2 3'
_cell_length_a 4.712
_cell_length_b 4.712
_cell_length_c 4.712
_cell_angle_alpha 90.00
_cell_angle_beta 90.00
_cell_angle_gamma 90.00
loop_
_atom_site_label
_atom_site_type_symbol
_atom_site_fract_x
_atom_site_fract_y
_atom_site_fract_z
Tl1 Tl 0.000 0.000 0.000
Fe1 Fe 0.000 0.000 0.500
Pd1 Pd 0.500 0.500 0.500


# YFePd2, relaxed, DFT GGA-PBEsol
# **VASP energy**: -7.210 eV/atom
# **M_tot**: 12.6 Bohr magnetons per cell
# **Formation energy**: -0.2841 eV per atom
data_YFePd2
_symmetry_space_group_name_H-M 'F m -3 m'
_symmetry_Int_Tables_number 225
_symmetry_space_group_name_Hall '-F 4 2 3'
_cell_length_a 6.467
_cell_length_b 6.467
_cell_length_c 6.467
_cell_angle_alpha 90.00
_cell_angle_beta 90.00
_cell_angle_gamma 90.00
loop_
_atom_site_label
_atom_site_type_symbol
_atom_site_fract_x
_atom_site_fract_y
_atom_site_fract_z
Y1 Y 0.000 0.000 0.000
Fe1 Fe 0.000 0.000 0.500
Pd1 Pd 0.250 0.250 0.250